# CoPd3 (SCAN, single point on PBEsol structure)
# Formation energy from the elements = -0.01 eV per atom
# Final energy = -28.913 eV per atom
# Crystal system = cubic
data_CoPd3
_symmetry_space_group_name_H-M 'P 1'
_symmetry_Int_Tables_number 1
_cell_length_a 3.792
_cell_length_b 3.792
_cell_length_c 3.792
_cell_angle_alpha 90.00
_cell_angle_beta 90.00
_cell_angle_gamma 90.00
loop_
_symmetry_equiv_pos_as_xyz
'x,y,z'
loop_
_atom_site_label
_atom_site_fract_x
_atom_site_fract_y
_atom_site_fract_z
Co1 0.000 0.000 0.000
Pd1 0.000 0.500 0.500
Pd2 0.500 0.500 0.000
Pd3 0.500 0.000 0.500